This record from Alexandria describes a crystal of HfZrBePb2 relaxed with PBEsol. The functional is SCAN.

```
5
Lattice="5.369 0.000 0.000 0.000 5.369 0.000 0.000 0.000 4.555" Properties=species:S:1:pos:R:3 pbc="T T T"
Hf 0.000 0.000 0.000
Zr 2.685 2.685 2.278
Be 0.000 0.000 2.278
Pb 0.000 2.685 0.000
Pb 2.685 0.000 0.000
```

Total magnetic moment (μB per formula unit): 0.98
Energy (eV per atom): -48.9882
E_form (meV/atom): 869